Density functional theory data (meta-GGA SCAN) for TiCo3Sn at its PBEsol-relaxed geometry.

Results
Its energy of formation from the pure elements is 102 kJ per mole of atoms. As for the space-group type: Pm-3m, No. 221.

a b c (Å): 4.2231 4.2231 4.2231
angles (deg): 90.00 90.00 90.00
Sites, in units of the cell vectors:
Co 0.0000 0.5000 0.0000
Co 0.5000 0.0000 0.0000
Co 0.0000 0.0000 0.5000
Sn 0.5000 0.5000 0.5000
Ti 0.0000 0.0000 0.0000

Density functional theory data (meta-GGA SCAN) for CaBePt2 at its PBEsol-relaxed geometry.

Results
Its energy of formation from the pure elements is -57 kJ per mole of atoms. As for the space-group type: Pmm2, No. 25.

a b c (Å): 2.8234 3.6857 6.3034
angles (deg): 90.00 90.00 90.00
Sites, in units of the cell vectors:
Pt 0.0000 0.0000 0.0303
Pt 0.5000 0.5000 0.3129
Be 0.0000 0.0000 0.3929
Ca 0.5000 0.5000 0.7638

Density functional theory data (meta-GGA SCAN) for YSi2Br at its PBEsol-relaxed geometry.

Results
The energy above the most stable polymorph in this dataset comes out at 0.000 eV/atom. As for the space-group type: P4mm, No. 99.

a b c (Å): 3.3641 3.3641 7.6534
angles (deg): 90.00 90.00 90.01
Sites, in units of the cell vectors:
Y 0.0000 0.0000 0.5202
Br 0.5000 0.5000 0.2944
Si 0.0000 0.0000 0.9043
Si 0.5000 0.5000 0.7811

Density functional theory data (meta-GGA SCAN) for BeHAuS2 at its PBEsol-relaxed geometry.

Results
As for the space-group type: P4/mmm, No. 123.

a b c (Å): 2.8521 4.6600 4.6600
angles (deg): 90.00 90.00 90.00
Sites, in units of the cell vectors:
S 0.0000 0.5000 0.0000
S 0.0000 0.0000 0.5000
Be 0.0000 0.0000 0.0000
Au 0.5000 0.5000 0.5000
H 0.5000 0.0000 0.0000

Density functional theory data (meta-GGA SCAN) for ScCdPb2 at its PBEsol-relaxed geometry.

Results
Its energy of formation from the pure elements is -28 kJ per mole of atoms. As for the space-group type: P4/mmm, No. 123.

a b c (Å): 4.2708 4.7347 4.7347
angles (deg): 90.00 90.00 90.00
Sites, in units of the cell vectors:
Cd 0.5000 0.0000 0.0000
Pb 0.0000 0.0000 0.5000
Pb 0.0000 0.5000 0.0000
Sc 0.5000 0.5000 0.5000

Density functional theory data (meta-GGA SCAN) for MgCo4O8 at its PBEsol-relaxed geometry.

Results
The energy above the most stable polymorph in this dataset comes out at 0.000 eV/atom. As for the space-group type: F-43m, No. 216.

a b c (Å): 5.6550 5.6550 5.6550
angles (deg): 60.00 60.00 60.00
Sites, in units of the cell vectors:
O 0.1425 0.1425 0.1425
O 0.6103 0.6103 0.6103
O 0.6103 0.1691 0.6103
O 0.5726 0.1425 0.1425
O 0.6103 0.6103 0.1691
O 0.1691 0.6103 0.6103
O 0.1425 0.5726 0.1425
O 0.1425 0.1425 0.5726
Co 0.3735 0.3735 0.3735
Co 0.3735 0.3735 0.8796
Co 0.3735 0.8796 0.3735
Co 0.8796 0.3735 0.3735
Mg 0.7500 0.7500 0.7500

Density functional theory data (meta-GGA SCAN) for Cs2CuNi at its PBEsol-relaxed geometry.

Results
Its energy of formation from the pure elements is 82 kJ per mole of atoms. As for the space-group type: Fm-3m, No. 225.

a b c (Å): 5.8176 5.8176 5.8176
angles (deg): 60.00 60.00 60.00
Sites, in units of the cell vectors:
Cs 0.7500 0.7500 0.7500
Cs 0.2500 0.2500 0.2500
Cu 0.5000 0.5000 0.5000
Ni 0.0000 0.0000 0.0000

Density functional theory data (meta-GGA SCAN) for LaTi3Nb at its PBEsol-relaxed geometry.

Results
Its energy of formation from the pure elements is 133 kJ per mole of atoms. As for the space-group type: Pm-3m, No. 221.

a b c (Å): 4.6817 4.6817 4.6817
angles (deg): 90.00 90.00 90.00
Sites, in units of the cell vectors:
La 0.0000 0.0000 0.0000
Ti 0.5000 0.0000 0.0000
Ti 0.0000 0.0000 0.5000
Ti 0.0000 0.5000 0.0000
Nb 0.5000 0.5000 0.5000

Density functional theory data (meta-GGA SCAN) for MgAgIr at its PBEsol-relaxed geometry.

Results
Its energy of formation from the pure elements is 52 kJ per mole of atoms. As for the space-group type: F-43m, No. 216.

a b c (Å): 4.3037 4.3037 4.3037
angles (deg): 60.00 60.00 60.00
Sites, in units of the cell vectors:
Mg 0.5000 0.5000 0.5000
Ag 0.7500 0.7500 0.7500
Ir 0.0000 0.0000 0.0000

Density functional theory data (meta-GGA SCAN) for AlIn2SiNi at its PBEsol-relaxed geometry.

Results
As for the space-group type: P4/mmm, No. 123.

a b c (Å): 4.3379 5.1297 5.1297
angles (deg): 90.00 90.00 90.00
Sites, in units of the cell vectors:
In 0.0000 0.0000 0.5000
In 0.0000 0.5000 0.0000
Al 0.0000 0.0000 0.0000
Si 0.5000 0.5000 0.5000
Ni 0.5000 0.0000 0.0000

Density functional theory data (meta-GGA SCAN) for Nb2InCoS at its PBEsol-relaxed geometry.

Results
As for the space-group type: P4/mmm, No. 123.

a b c (Å): 4.4794 4.4794 4.8964
angles (deg): 90.00 90.00 90.00
Sites, in units of the cell vectors:
In 0.0000 0.0000 0.5000
Co 0.5000 0.5000 0.5000
Nb 0.0000 0.5000 0.0000
Nb 0.5000 0.0000 0.0000
S 0.0000 0.0000 0.0000

Density functional theory data (meta-GGA SCAN) for Fe3Ir at its PBEsol-relaxed geometry.

Results
Its energy of formation from the pure elements is 6 kJ per mole of atoms. As for the space-group type: Pm-3m, No. 221.

a b c (Å): 3.5307 3.5307 3.5307
angles (deg): 90.00 90.00 90.00
Sites, in units of the cell vectors:
Fe 0.0000 0.5000 0.0000
Fe 0.5000 0.0000 0.0000
Fe 0.0000 0.0000 0.5000
Ir 0.5000 0.5000 0.5000

Number 1: energy -98.60 eV/cell. Number 2: energy -156.78 eV/cell. Number 3: energy -68.87 eV/cell. Number 4: energy -95.19 eV/cell. Number 5: energy -197.37 eV/cell. Number 6: energy -144.37 eV/cell. Number 7: energy -103.59 eV/cell. Number 8: energy -117.45 eV/cell. Number 9: energy -105.83 eV/cell. Number 10: energy -96.18 eV/cell. Number 11: energy -123.27 eV/cell. Number 12: energy -125.22 eV/cell.